Entry a
{"formula": "NaCd2Hg2", "functional": "SCAN", "state": "single point on PBEsol structure", "volume_a3_per_atom": 24.992, "lattice_angstrom": [[-2.151, 2.151, 6.749], [2.151, -2.151, 6.749], [2.151, 2.151, -6.749]], "species": ["Na", "Cd", "Cd", "Hg", "Hg"], "frac_coords": [[0.000, 0.000, 0.000], [0.250, 0.750, 0.500], [0.750, 0.250, 0.500], [0.398, 0.398, 0.000], [0.602, 0.602, 0.000]]}

Entry b
{"formula": "NaCd2Hg2", "functional": "SCAN", "state": "single point on PBEsol structure", "volume_a3_per_atom": 23.221, "lattice_angstrom": [[8.452, 0.000, 0.000], [0.000, 8.452, 0.000], [0.000, 0.000, 3.250]], "species": ["Na", "Na", "Cd", "Cd", "Cd", "Cd", "Hg", "Hg", "Hg", "Hg"], "frac_coords": [[0.000, 0.000, 0.000], [0.500, 0.500, 0.000], [0.136, 0.364, 0.500], [0.364, 0.864, 0.500], [0.636, 0.136, 0.500], [0.864, 0.636, 0.500], [0.162, 0.662, 0.000], [0.338, 0.162, 0.000], [0.662, 0.838, 0.000], [0.838, 0.338, 0.000]]}

Stability, lowest: entry b

Entry a
{"formula": "CdHgOs", "functional": "SCAN", "state": "single point on PBEsol structure", "volume_a3_per_atom": 17.751, "lattice_angstrom": [[-1.439, 1.439, 6.429], [1.439, -1.439, 6.429], [1.439, 1.439, -6.429]], "species": ["Cd", "Hg", "Os"], "frac_coords": [[0.000, 0.000, 0.000], [0.686, 0.686, 0.000], [0.345, 0.345, 0.000]]}

Entry b
{"formula": "CdHgOs", "functional": "SCAN", "state": "single point on PBEsol structure", "volume_a3_per_atom": 17.697, "lattice_angstrom": [[0.000, 2.494, 7.351], [1.448, 0.000, 7.351], [1.448, 2.494, 0.000]], "species": ["Cd", "Hg", "Os"], "frac_coords": [[0.000, 0.000, 0.000], [0.677, 0.677, 0.323], [0.341, 0.341, 0.659]]}

Entry c
{"formula": "CdHgOs", "functional": "SCAN", "state": "single point on PBEsol structure", "volume_a3_per_atom": 17.546, "lattice_angstrom": [[2.904, 0.000, 0.000], [-1.452, 2.515, 0.000], [0.000, 0.000, 7.207]], "species": ["Cd", "Hg", "Os"], "frac_coords": [[0.000, 0.000, 0.000], [0.333, 0.667, 0.641], [0.667, 0.333, 0.315]]}

Stability, lowest: entry a